A plane-wave DFT calculation with PBE was carried out for crystalline SmZrGe at its relaxed geometry.

a b c (Å): 6.984 6.984 6.984
angles (deg): 90.00 90.00 90.00
Space group F-43m (No. 216)
Unique sites:
1 Sm 0.000 0.000 0.000
2 Zr 0.250 0.250 0.250
3 Ge 0.250 0.250 0.750

Values from the calculation:
Final energy (eV per atom): -5.319
Magnetic moment (Bohr magnetons per cell): 11.50


A plane-wave DFT calculation with PBE was carried out for crystalline TaSnGe at its relaxed geometry.

a b c (Å): 6.427 6.427 6.427
angles (deg): 90.00 90.00 90.00
Space group F-43m (No. 216)
Unique sites:
1 Ta 0.000 0.000 0.000
2 Sn 0.000 0.000 0.500
3 Ge 0.250 0.250 0.750

Values from the calculation:
Final energy (eV per atom): -6.118
Magnetic moment (Bohr magnetons per cell): 0.23
Energy above the most stable polymorph in this dataset (meV per atom): 136


A plane-wave DFT calculation with PBE was carried out for crystalline TaSnGe at its relaxed geometry.

a b c (Å): 6.534 6.534 6.534
angles (deg): 90.00 90.00 90.00
Space group F-43m (No. 216)
Unique sites:
1 Ta 0.000 0.000 0.000
2 Sn 0.250 0.250 0.250
3 Ge 0.250 0.250 0.750

Values from the calculation:
Final energy (eV per atom): -6.254
Magnetic moment (Bohr magnetons per cell): 0.05
Energy above the most stable polymorph in this dataset (meV per atom): 0


A plane-wave DFT calculation with PBE was carried out for crystalline TbTmSn2Ge2 at its relaxed geometry.

a b c (Å): 4.070 4.278 16.247
angles (deg): 90.00 90.00 90.00
Space group Amm2 (No. 38)
Unique sites:
1 Tb 0.000 0.000 0.000
2 Tm 0.500 0.000 0.812
3 Sn 0.000 0.000 0.653
4 Sn 0.500 0.000 0.162
5 Ge 0.000 0.000 0.351
6 Ge 0.500 0.000 0.459

Values from the calculation:
Final energy (eV per atom): -5.003
Magnetic moment (Bohr magnetons per cell): 0.03


A plane-wave DFT calculation with PBE was carried out for crystalline TcSn2Ge at its relaxed geometry.

a b c (Å): 6.842 6.842 6.842
angles (deg): 90.00 90.00 90.00
Space group F-43m (No. 216)
Unique sites:
1 Tc 0.000 0.000 0.000
2 Sn 0.000 0.000 0.500
3 Sn 0.250 0.250 0.750
4 Ge 0.250 0.250 0.250

Values from the calculation:
Final energy (eV per atom): -5.202
Magnetic moment (Bohr magnetons per cell): 3.66


A plane-wave DFT calculation with PBE was carried out for crystalline TcSnGe at its relaxed geometry.

a b c (Å): 6.224 6.224 6.224
angles (deg): 90.00 90.00 90.00
Space group F-43m (No. 216)
Unique sites:
1 Tc 0.000 0.000 0.000
2 Sn 0.250 0.250 0.250
3 Ge 0.250 0.250 0.750

Values from the calculation:
Final energy (eV per atom): -6.047
Magnetic moment (Bohr magnetons per cell): 0.02
Energy above the most stable polymorph in this dataset (meV per atom): 0